Entry 1:
Mg5AlPd3 | PBE | relaxed

extended XYZ file:
```
18
Lattice="4.706 -4.151 0.000 4.706 4.151 0.000 -1.834 0.000 9.604" Properties=species:S:1:pos:R:3 pbc="T T T"
Mg -0.322 0.000 3.328
Mg 2.180 1.658 3.483
Mg 4.706 2.614 0.000
Mg 0.617 0.000 8.346
Mg 5.398 1.658 6.121
Mg 2.180 -1.658 3.483
Mg 6.961 0.000 1.258
Mg 4.706 -2.614 0.000
Mg 5.398 -1.658 6.121
Mg 7.900 0.000 6.275
Al 3.192 0.000 7.201
Al 4.387 0.000 2.402
Pd 1.153 0.000 5.659
Pd 1.998 0.000 1.372
Pd 4.706 0.000 0.000
Pd 3.789 0.000 4.802
Pd 5.580 0.000 8.232
Pd 6.425 0.000 3.944
```

As for the electronic total energy: -61.1 eV for the cell shown.

Entry 2:
Ba2LaFe | PBE | relaxed

extended XYZ file:
```
4
Lattice="-2.472 2.472 5.946 2.472 -2.472 5.946 2.472 2.472 -5.946" Properties=species:S:1:pos:R:3 pbc="T T T"
Ba 2.472 0.000 2.973
Ba 0.000 2.472 2.973
La 0.000 0.000 0.000
Fe 0.000 0.000 5.946
```

As for the distance to the lowest polymorph of the same formula: 367.7 meV/atom.

Entry 3:
Er3UTl4Te8 | PBE | relaxed

extended XYZ file:
```
16
Lattice="4.431 2.558 8.224 -4.431 2.558 8.224 0.000 -5.116 8.224" Properties=species:S:1:pos:R:3 pbc="T T T"
Er -2.215 -1.279 8.224
Er -2.215 1.279 16.448
Er 0.000 2.558 8.224
U 0.000 0.000 0.000
Tl -4.431 0.000 12.336
Tl -2.215 1.279 4.112
Tl 2.215 1.279 4.112
Tl 0.000 0.000 12.336
Te 0.000 -2.517 9.980
Te -2.180 1.258 9.980
Te 0.000 0.000 6.494
Te -2.180 -1.258 14.692
Te 2.180 1.258 9.980
Te 0.000 0.000 18.178
Te 2.180 -1.258 14.692
Te 0.000 2.517 14.692
```

Its energy relative to the elements, uncorrected is -0.8989 eV per atom.

Entry 4:
ScAgOsRu2 | PBE | relaxed

extended XYZ file:
```
5
Lattice="4.506 0.000 0.000 0.000 4.506 0.000 0.000 0.000 4.722" Properties=species:S:1:pos:R:3 pbc="T T T"
Sc 0.000 0.000 0.000
Ag 0.000 0.000 2.361
Os 2.253 2.253 2.361
Ru 0.000 2.253 0.000
Ru 2.253 0.000 0.000
```

As for the electronic total energy: -29.4 eV for the cell shown.

Entry 5:
MnSb4Ir | PBE | relaxed

extended XYZ file:
```
6
Lattice="0.000 4.243 4.243 4.243 0.000 4.243 4.243 4.243 0.000" Properties=species:S:1:pos:R:3 pbc="T T T"
Mn 0.000 0.000 0.000
Sb 5.304 3.182 3.182
Sb 3.182 5.304 3.182
Sb 3.182 3.182 5.304
Sb 5.304 5.304 5.304
Ir 2.122 2.122 2.122
```

Its energy relative to the elements, uncorrected is 1.0548 eV per atom.

Entry 6:
CaLa2Hg6 | PBE | relaxed

extended XYZ file:
```
9
Lattice="8.788 0.000 0.000 -4.394 7.611 0.000 0.000 0.000 3.577" Properties=species:S:1:pos:R:3 pbc="T T T"
Ca 0.000 0.000 0.000
La 0.000 5.074 0.000
La 4.394 2.537 0.000
Hg -1.452 2.515 1.789
Hg -2.942 5.096 1.789
Hg 2.904 0.000 1.789
Hg 1.452 2.515 1.789
Hg 5.884 0.000 1.789
Hg 2.942 5.096 1.789
```

As for the electronic total energy: -17.9 eV for the cell shown.

Entry 7:
Ac2DyGa3Pd4 | PBE | relaxed

extended XYZ file:
```
10
Lattice="4.418 0.000 0.000 0.000 4.418 0.000 0.000 0.000 11.386" Properties=species:S:1:pos:R:3 pbc="T T T"
Ac 0.000 2.209 2.625
Ac 2.209 0.000 8.761
Dy 0.000 0.000 5.693
Ga 0.000 2.209 10.063
Ga 2.209 0.000 1.324
Ga 2.209 2.209 5.693
Pd 0.000 0.000 0.000
Pd 0.000 2.209 7.463
Pd 2.209 0.000 3.924
Pd 2.209 2.209 0.000
```

As for the electronic total energy: -50.8 eV for the cell shown.

Entry 8:
InNi3Sn5 | PBE | relaxed

extended XYZ file:
```
18
Lattice="5.625 -4.345 0.000 5.625 4.345 0.000 -4.633 0.000 8.264" Properties=species:S:1:pos:R:3 pbc="T T T"
In -0.347 0.000 2.554
In 6.963 0.000 5.710
Ni 0.000 0.000 0.000
Ni -2.317 0.000 4.132
Ni -0.113 0.000 6.872
Ni 2.249 0.000 2.722
Ni 4.368 0.000 5.542
Ni 6.729 0.000 1.392
Sn 2.223 2.500 2.784
Sn 2.543 0.000 0.187
Sn 5.625 1.847 0.000
Sn 4.394 2.500 5.481
Sn 1.833 0.000 5.259
Sn 4.784 0.000 3.005
Sn 2.223 -2.500 2.784
Sn 5.625 -1.847 0.000
Sn 4.074 0.000 8.077
Sn 4.394 -2.500 5.481
```

As for the electronic total energy: -82.4 eV for the cell shown.